# Ba2TlCo | Alexandria | PBE-GGA | optimized geometry
data_Ba2TlCo
_chemical_formula_sum 'Ba2 Tl1 Co1'
_space_group_name_H-M_alt 'P 1'
_space_group_IT_number 1
_cell_length_a 3.896
_cell_length_b 3.945
_cell_length_c 8.739
_cell_angle_alpha 90.00
_cell_angle_beta 90.00
_cell_angle_gamma 90.00
loop_
_space_group_symop_operation_xyz
'x,y,z'
loop_
_atom_site_label
_atom_site_type_symbol
_atom_site_fract_x
_atom_site_fract_y
_atom_site_fract_z
_atom_site_occupancy
Ba1 Ba 0.000 0.000 0.214 1
Ba2 Ba 0.000 0.000 0.786 1
Tl1 Tl 0.500 0.500 0.500 1
Co1 Co 0.500 0.500 0.000 1
# Calculated formation energy (eV/atom): 0.191
# Theoretical density (Mg/m³): 6.7
# Magnetization (μB per formula unit): 1.205
# Crystal system: orthorhombic

# CdRhPb | Alexandria | PBE-GGA | optimized geometry
data_CdRhPb
_chemical_formula_sum 'Cd1 Rh1 Pb1'
_space_group_name_H-M_alt 'P 1'
_space_group_IT_number 1
_cell_length_a 4.584
_cell_length_b 4.584
_cell_length_c 4.584
_cell_angle_alpha 60.00
_cell_angle_beta 60.00
_cell_angle_gamma 60.00
loop_
_space_group_symop_operation_xyz
'x,y,z'
loop_
_atom_site_label
_atom_site_type_symbol
_atom_site_fract_x
_atom_site_fract_y
_atom_site_fract_z
_atom_site_occupancy
Cd1 Cd 0.000 0.000 0.000 1
Rh1 Rh 0.250 0.250 0.250 1
Pb1 Pb 0.500 0.500 0.500 1
# Calculated formation energy (eV/atom): -0.032
# Theoretical density (Mg/m³): 10.3
# Energy relative to the lowest polymorph listed for this composition (meV per atom): 72
# Magnetization (μB per formula unit): 0.000
# Crystal system: cubic

# CsSCl2 | Alexandria | PBE-GGA | optimized geometry
data_CsSCl2
_chemical_formula_sum 'Cs1 S1 Cl2'
_space_group_name_H-M_alt 'P 1'
_space_group_IT_number 1
_cell_length_a 7.778
_cell_length_b 7.778
_cell_length_c 7.778
_cell_angle_alpha 43.70
_cell_angle_beta 43.70
_cell_angle_gamma 43.70
loop_
_space_group_symop_operation_xyz
'x,y,z'
loop_
_atom_site_label
_atom_site_type_symbol
_atom_site_fract_x
_atom_site_fract_y
_atom_site_fract_z
_atom_site_occupancy
Cs1 Cs 0.000 0.000 0.000 1
S1 S 0.500 0.500 0.500 1
Cl1 Cl 0.391 0.391 0.391 1
Cl2 Cl 0.609 0.609 0.609 1
# Theoretical density (Mg/m³): 1.9
# Formation energy without anion corrections (eV per atom): -0.710
# Energy relative to the lowest polymorph listed for this composition (meV per atom): 0
# Magnetization (μB per formula unit): 1.000
# Crystal system: trigonal